# 1
First-principles (SCAN) data for a crystal of RePPtS2 relaxed with PBEsol, as listed in the Alexandria database.

For the total energy, the calculation gives -32.7402 eV per atom. The value obtained for the formation energy (no corrections) is 1.449 eV per atom. As for the crystal system: tetragonal.

It has space group P4/mmm (No. 123), with a = 4.604 Å, b = 4.604 Å, c = 4.507 Å, α = 90.00°, β = 90.00° and γ = 90.00°. The inequivalent atoms are Re at (0.000, 0.000, 0.000), P at (0.500, 0.500, 0.000), Pt at (0.500, 0.500, 0.500) and S at (0.000, 0.500, 0.500).

***

# 2
First-principles (SCAN) data for a crystal of PPtRh relaxed with PBEsol, as listed in the Alexandria database.

For the total energy, the calculation gives -38.7545 eV per atom. The calculation puts the formation energy at -0.633 eV per atom. As for the crystal system: cubic.

It has space group F-43m (No. 216), with a = 5.566 Å, b = 5.566 Å, c = 5.566 Å, α = 90.00°, β = 90.00° and γ = 90.00°. The inequivalent atoms are P at (0.000, 0.000, 0.000), Pt at (0.250, 0.250, 0.750) and Rh at (0.250, 0.250, 0.250).

***

# 3
First-principles (SCAN) data for a crystal of PPt2Rh relaxed with PBEsol, as listed in the Alexandria database.

For the total energy, the calculation gives -46.4107 eV per atom. The calculation puts the formation energy at -0.272 eV per atom. As for the crystal system: orthorhombic.

It has space group Immm (No. 71), with a = 2.805 Å, b = 3.946 Å, c = 10.466 Å, α = 90.00°, β = 90.00° and γ = 90.00°. The inequivalent atoms are P at (0.000, 0.000, 0.000), Pt at (0.000, 0.500, 0.315) and Rh at (0.000, 0.000, 0.500).

***

# 4
First-principles (SCAN) data for a crystal of P2PtRh relaxed with PBEsol, as listed in the Alexandria database.

For the total energy, the calculation gives -31.6734 eV per atom. The calculation puts the formation energy at -0.483 eV per atom. As for the crystal system: tetragonal.

It has space group I-42d (No. 122), with a = 5.195 Å, b = 5.195 Å, c = 10.645 Å, α = 90.00°, β = 90.00° and γ = 90.00°. The inequivalent atoms are P at (0.242, 0.250, 0.125), Pt at (0.000, 0.000, 0.500) and Rh at (0.000, 0.000, 0.000).